Record 1
The following is a DFT calculation (SCAN) of a crystal of Mg2AlSb relaxed with PBEsol.

Results
DOS at the Fermi energy = 0.99 states/eV per cell
Energy relative to the elements, uncorrected = -0.04 eV/f.u.
Electronic total energy = -55.00 eV for the cell shown

Cell lengths 3.2351, 3.2351, 9.7513 Å; angles 80.45, 80.45, 60.00 degrees
Atoms (fractional coordinates):
Al  0.0000  0.0000  0.0000
Sb  0.5000  0.5000  0.5000
Mg  0.7450  0.7450  0.7651
Mg  0.2550  0.2550  0.2349

Record 2
The following is a DFT calculation (SCAN) of a crystal of InIr2W relaxed with PBEsol.

Results
DOS at the Fermi energy = 2.84 states/eV per cell
Electronic total energy = -244.66 eV for the cell shown
Energy of formation = 0.1539 eV/atom

Cell lengths 2.8054, 4.7634, 4.9693 Å; angles 98.41, 90.00, 107.13 degrees
Atoms (fractional coordinates):
Ir  0.2540  0.5079  0.2666
Ir  0.7460  0.4921  0.7334
W  0.0000  0.0000  0.5000
In  0.5000  0.0000  0.0000

- Which of these has the lowest electronic total energy?
  InIr2W